No. 1
Compound: Pm2PuTh
Source: Alexandria
Functional: GGA-PBE
Structure: optimized geometry

Properties
The value obtained for the calculated total energy is -30.33 eV per cell. The magnetic moment comes out at 1.589 μB/atom. As for the space group: P4/mmm. The value obtained for the distance to the lowest polymorph of the same formula is 83 meV/atom.

Cell and atoms, written as extended XYZ:
```
4
Lattice="4.2132 0.0000 0.0000 0.0000 4.2132 0.0000 0.0000 0.0000 7.1426" Properties=species:S:1:pos:R:3 pbc="T T T"
Pm 0.0000 0.0000 5.3067
Pm 0.0000 0.0000 1.8360
Th 2.1066 2.1066 0.0000
Pu 2.1066 2.1066 3.5713
```

No. 2
Compound: MnTe2Ru
Source: Alexandria
Functional: GGA-PBE
Structure: optimized geometry

Properties
The value obtained for the calculated total energy is -24.08 eV per cell. Its formation energy without anion corrections is 162 meV per atom. The magnetic moment comes out at 1.234 μB/atom. As for the space group: R-3m. The value obtained for the distance to the lowest polymorph of the same formula is 267 meV/atom.

Cell and atoms, written as extended XYZ:
```
4
Lattice="-1.8340 3.1430 1.7902 -2.5941 2.3046 -2.0991 -6.1110 -1.8607 1.5953" Properties=species:S:1:pos:R:3 pbc="T T T"
Mn -7.9044 2.6902 0.9649
Ru -2.6348 0.8967 0.3216
Te -4.5474 5.3538 -0.2653
Te -5.1504 1.8873 0.5997
```

No. 3
Compound: Mg2NbSb2
Source: Alexandria
Functional: GGA-PBE
Structure: optimized geometry

Properties
The value obtained for the calculated total energy is -40.65 eV per cell. Its formation energy without anion corrections is 236 meV per atom. The magnetic moment comes out at 0.000 μB/atom. As for the space group: P4/mbm.

Cell and atoms, written as extended XYZ:
```
10
Lattice="-0.2170 6.8200 -3.5229 -4.1330 -3.0736 -5.6957 -3.1515 0.8454 1.8307" Properties=species:S:1:pos:R:3 pbc="T T T"
Sb -4.4154 -0.4483 -3.5710
Sb -5.1213 2.5175 -6.1556
Sb -3.0861 5.0400 -3.8169
Sb -2.3803 2.0742 -1.2323
Nb 0.0000 0.0000 0.0000
Nb -2.1750 1.8732 -4.6093
Mg -3.6808 -0.1466 -6.2687
Mg -2.7884 4.0077 -6.6508
Mg -0.6693 3.8929 -2.9498
Mg -1.5617 -0.2614 -2.5677
```

No. 4
Compound: CaZnGa2Au2
Source: Alexandria
Functional: GGA-PBE
Structure: optimized geometry

Properties
The value obtained for the calculated total energy is -18.57 eV per cell. The magnetic moment comes out at 0.000 μB/atom. As for the space group: P-3m1.

Cell and atoms, written as extended XYZ:
```
6
Lattice="-2.6112 -2.5007 2.6281 3.3040 -1.9050 -2.3308 4.3020 1.0311 5.2554" Properties=species:S:1:pos:R:3 pbc="T T T"
Ca 0.0000 0.0000 0.0000
Zn 2.1510 0.5156 2.6277
Ga 2.4564 -1.5601 4.7572
Ga 2.5383 -1.8145 0.7955
Au 0.6379 -1.9960 2.5356
Au 4.3569 -1.3786 3.0171
```

What is the calculated total energy in the first record?
-30.33 eV per cell

Which value of calculated total energy does entry 1 give?
-30.33 eV per cell

Among the records above, which one has the lowest calculated total energy?
Mg2NbSb2

The highest calculated total energy belongs to which entry?
CaZnGa2Au2